1.
Compound: SrTb2MgHg4
Source: Alexandria via LeMat-Bulk
Functional: PBE-GGA
Structure: optimized geometry Values from VASP.

Cell and atoms, written as Quantum ESPRESSO input:
```
&SYSTEM
  ibrav = 0, nat = 8, ntyp = 4
/
ATOMIC_SPECIES
Sr 87.62 Sr.upf
Tb 158.93 Tb.upf
Mg 24.30 Mg.upf
Hg 200.59 Hg.upf
CELL_PARAMETERS angstrom
2.609 1.507 8.896
-2.609 1.507 8.896
0.000 -3.013 8.896
ATOMIC_POSITIONS crystal
Sr 0.000 0.000 0.000
Tb 0.243 0.243 0.243
Tb 0.757 0.757 0.757
Mg 0.500 0.500 0.500
Hg 0.126 0.126 0.126
Hg 0.384 0.384 0.384
Hg 0.616 0.616 0.616
Hg 0.874 0.874 0.874
```

Calculated values
As for the final energy: -2.15 eV/atom. Its total magnetization is 0.0 μB/cell. As for the formation energy: -0.43 eV per atom.


2.
Compound: Sr2TbMgHg6
Source: Alexandria via LeMat-Bulk
Functional: PBE-GGA
Structure: optimized geometry Values from VASP.

Cell and atoms, written as Quantum ESPRESSO input:
```
&SYSTEM
  ibrav = 0, nat = 10, ntyp = 4
/
ATOMIC_SPECIES
Sr 87.62 Sr.upf
Tb 158.93 Tb.upf
Mg 24.30 Mg.upf
Hg 200.59 Hg.upf
CELL_PARAMETERS angstrom
5.516 0.000 0.000
1.103 6.668 0.000
1.451 2.751 7.849
ATOMIC_POSITIONS crystal
Sr 0.093 0.391 0.251
Sr 0.907 0.609 0.749
Tb 0.000 0.000 0.000
Mg 0.500 0.500 0.500
Hg 0.171 0.845 0.353
Hg 0.354 0.914 0.686
Hg 0.433 0.283 0.923
Hg 0.567 0.717 0.077
Hg 0.646 0.086 0.314
Hg 0.829 0.155 0.647
```

Calculated values
As for the final energy: -1.45 eV/atom. Its total magnetization is 0.0 μB/cell. As for the formation energy: -0.31 eV per atom.


3.
Compound: SrTbMgHg
Source: Alexandria via LeMat-Bulk
Functional: PBE-GGA
Structure: optimized geometry Values from VASP.

Cell and atoms, written as Quantum ESPRESSO input:
```
&SYSTEM
  ibrav = 0, nat = 4, ntyp = 4
/
ATOMIC_SPECIES
Sr 87.62 Sr.upf
Tb 158.93 Tb.upf
Mg 24.30 Mg.upf
Hg 200.59 Hg.upf
CELL_PARAMETERS angstrom
0.000 3.901 3.901
3.901 0.000 3.901
3.901 3.901 0.000
ATOMIC_POSITIONS crystal
Sr 0.000 0.000 0.000
Tb 0.500 0.500 0.500
Mg 0.750 0.750 0.750
Hg 0.250 0.250 0.250
```

Calculated values
As for the final energy: -2.27 eV/atom. Its total magnetization is 0.0 μB/cell. As for the formation energy: -0.21 eV per atom. The calculation puts the polymorph energy (0 for the lowest one) at 66 meV/atom.


4.
Compound: SrTbMg2Hg4
Source: Alexandria via LeMat-Bulk
Functional: PBE-GGA
Structure: optimized geometry Values from VASP.

Cell and atoms, written as Quantum ESPRESSO input:
```
&SYSTEM
  ibrav = 0, nat = 8, ntyp = 4
/
ATOMIC_SPECIES
Sr 87.62 Sr.upf
Tb 158.93 Tb.upf
Mg 24.30 Mg.upf
Hg 200.59 Hg.upf
CELL_PARAMETERS angstrom
2.570 1.484 8.671
-2.570 1.484 8.671
0.000 -2.967 8.671
ATOMIC_POSITIONS crystal
Sr 0.000 0.000 0.000
Tb 0.500 0.500 0.500
Mg 0.247 0.247 0.247
Mg 0.753 0.753 0.753
Hg 0.127 0.127 0.127
Hg 0.381 0.381 0.381
Hg 0.619 0.619 0.619
Hg 0.873 0.873 0.873
```

Calculated values
As for the final energy: -1.76 eV/atom. Its total magnetization is 0.0 μB/cell. As for the formation energy: -0.42 eV per atom.


5.
Compound: Sr2MgTcHg
Source: Alexandria via LeMat-Bulk
Functional: PBE-GGA
Structure: optimized geometry Values from VASP.

Cell and atoms, written as Quantum ESPRESSO input:
```
&SYSTEM
  ibrav = 0, nat = 5, ntyp = 4
/
ATOMIC_SPECIES
Sr 87.62 Sr.upf
Mg 24.30 Mg.upf
Tc 98.00 Tc.upf
Hg 200.59 Hg.upf
CELL_PARAMETERS angstrom
6.064 0.000 0.000
0.000 6.064 0.000
0.000 0.000 5.182
ATOMIC_POSITIONS crystal
Sr 0.000 0.500 0.000
Sr 0.500 0.000 0.000
Mg 0.000 0.000 0.500
Tc 0.500 0.500 0.500
Hg 0.000 0.000 0.000
```

Calculated values
As for the final energy: -2.33 eV/atom. Its total magnetization is 3.6 μB/cell. As for the formation energy: 0.79 eV per atom.


6.
Compound: Sr2Mg4TlHg3
Source: Alexandria via LeMat-Bulk
Functional: PBE-GGA
Structure: optimized geometry Values from VASP.

Cell and atoms, written as Quantum ESPRESSO input:
```
&SYSTEM
  ibrav = 0, nat = 10, ntyp = 4
/
ATOMIC_SPECIES
Sr 87.62 Sr.upf
Mg 24.30 Mg.upf
Tl 204.38 Tl.upf
Hg 200.59 Hg.upf
CELL_PARAMETERS angstrom
4.712 0.000 0.000
0.000 4.712 0.000
0.000 0.000 12.408
ATOMIC_POSITIONS crystal
Sr 0.000 0.500 0.249
Sr 0.500 0.000 0.751
Mg 0.000 0.000 0.500
Mg 0.000 0.500 0.864
Mg 0.500 0.000 0.136
Mg 0.500 0.500 0.500
Tl 0.500 0.500 0.000
Hg 0.000 0.000 0.000
Hg 0.000 0.500 0.639
Hg 0.500 0.000 0.361
```

Calculated values
As for the final energy: -1.60 eV/atom. Its total magnetization is 0.0 μB/cell. As for the formation energy: -0.30 eV per atom.


7.
Compound: Sr3Mg2Tl2Hg4
Source: Alexandria via LeMat-Bulk
Functional: PBE-GGA
Structure: optimized geometry Values from VASP.

Cell and atoms, written as Quantum ESPRESSO input:
```
&SYSTEM
  ibrav = 0, nat = 11, ntyp = 4
/
ATOMIC_SPECIES
Sr 87.62 Sr.upf
Mg 24.30 Mg.upf
Tl 204.38 Tl.upf
Hg 200.59 Hg.upf
CELL_PARAMETERS angstrom
5.126 0.000 0.000
-2.563 4.440 0.000
0.000 0.000 14.616
ATOMIC_POSITIONS crystal
Sr 0.000 0.000 0.000
Sr 0.000 0.000 0.276
Sr 0.000 0.000 0.724
Mg 0.333 0.667 0.568
Mg 0.667 0.333 0.432
Tl 0.333 0.667 0.144
Tl 0.667 0.333 0.856
Hg 0.333 0.667 0.378
Hg 0.333 0.667 0.873
Hg 0.667 0.333 0.127
Hg 0.667 0.333 0.622
```

Calculated values
As for the final energy: -1.62 eV/atom. Its total magnetization is 0.0 μB/cell. As for the formation energy: -0.33 eV per atom.


8.
Compound: SrMg2TlHg2
Source: Alexandria via LeMat-Bulk
Functional: PBE-GGA
Structure: optimized geometry Values from VASP.

Cell and atoms, written as Quantum ESPRESSO input:
```
&SYSTEM
  ibrav = 0, nat = 6, ntyp = 4
/
ATOMIC_SPECIES
Sr 87.62 Sr.upf
Mg 24.30 Mg.upf
Tl 204.38 Tl.upf
Hg 200.59 Hg.upf
CELL_PARAMETERS angstrom
5.045 0.000 0.000
-2.523 4.369 0.000
0.000 0.000 7.225
ATOMIC_POSITIONS crystal
Sr 0.000 0.000 0.000
Mg 0.333 0.667 0.664
Mg 0.667 0.333 0.336
Tl 0.000 0.000 0.500
Hg 0.333 0.667 0.225
Hg 0.667 0.333 0.775
```

Calculated values
As for the final energy: -1.60 eV/atom. Its total magnetization is 0.0 μB/cell. As for the formation energy: -0.30 eV per atom.


9.
Compound: SrMg2Tl2Hg
Source: Alexandria via LeMat-Bulk
Functional: PBE-GGA
Structure: optimized geometry Values from VASP.

Cell and atoms, written as Quantum ESPRESSO input:
```
&SYSTEM
  ibrav = 0, nat = 6, ntyp = 4
/
ATOMIC_SPECIES
Sr 87.62 Sr.upf
Mg 24.30 Mg.upf
Tl 204.38 Tl.upf
Hg 200.59 Hg.upf
CELL_PARAMETERS angstrom
4.942 0.000 0.000
-2.471 4.280 0.000
0.000 0.000 7.802
ATOMIC_POSITIONS crystal
Sr 0.000 0.000 0.000
Mg 0.333 0.667 0.639
Mg 0.667 0.333 0.361
Tl 0.333 0.667 0.230
Tl 0.667 0.333 0.770
Hg 0.000 0.000 0.500
```

Calculated values
As for the final energy: -1.87 eV/atom. Its total magnetization is 0.0 μB/cell. As for the formation energy: -0.21 eV per atom.


10.
Compound: SrTmMg2Hg4
Source: Alexandria via LeMat-Bulk
Functional: PBE-GGA
Structure: optimized geometry Values from VASP.

Cell and atoms, written as Quantum ESPRESSO input:
```
&SYSTEM
  ibrav = 0, nat = 8, ntyp = 4
/
ATOMIC_SPECIES
Sr 87.62 Sr.upf
Tm 168.93 Tm.upf
Mg 24.30 Mg.upf
Hg 200.59 Hg.upf
CELL_PARAMETERS angstrom
2.541 1.467 8.780
-2.541 1.467 8.780
0.000 -2.934 8.780
ATOMIC_POSITIONS crystal
Sr 0.000 0.000 0.000
Tm 0.500 0.500 0.500
Mg 0.245 0.245 0.245
Mg 0.755 0.755 0.755
Hg 0.127 0.127 0.127
Hg 0.384 0.384 0.384
Hg 0.616 0.616 0.616
Hg 0.873 0.873 0.873
```

Calculated values
As for the final energy: -1.73 eV/atom. Its total magnetization is 0.0 μB/cell. As for the formation energy: -0.41 eV per atom.


11.
Compound: Sr2TmMg12Hg3
Source: Alexandria via LeMat-Bulk
Functional: PBE-GGA
Structure: optimized geometry Values from VASP.

Cell and atoms, written as Quantum ESPRESSO input:
```
&SYSTEM
  ibrav = 0, nat = 18, ntyp = 4
/
ATOMIC_SPECIES
Sr 87.62 Sr.upf
Tm 168.93 Tm.upf
Mg 24.30 Mg.upf
Hg 200.59 Hg.upf
CELL_PARAMETERS angstrom
4.448 2.568 8.062
-4.448 2.568 8.062
0.000 -5.137 8.062
ATOMIC_POSITIONS crystal
Sr 0.083 0.083 0.083
Sr 0.917 0.917 0.917
Tm 0.500 0.500 0.500
Mg 0.049 0.671 0.671
Mg 0.278 0.278 0.635
Mg 0.278 0.635 0.278
Mg 0.329 0.329 0.951
Mg 0.329 0.951 0.329
Mg 0.365 0.722 0.722
Mg 0.635 0.278 0.278
Mg 0.671 0.049 0.671
Mg 0.671 0.671 0.049
Mg 0.722 0.365 0.722
Mg 0.722 0.722 0.365
Mg 0.951 0.329 0.329
Hg 0.000 0.500 0.500
Hg 0.500 0.000 0.500
Hg 0.500 0.500 0.000
```

Calculated values
As for the final energy: -1.43 eV/atom. Its total magnetization is 0.0 μB/cell. As for the formation energy: 0.12 eV per atom.


12.
Compound: SrTmMgHg
Source: Alexandria via LeMat-Bulk
Functional: PBE-GGA
Structure: optimized geometry Values from VASP.

Cell and atoms, written as Quantum ESPRESSO input:
```
&SYSTEM
  ibrav = 0, nat = 4, ntyp = 4
/
ATOMIC_SPECIES
Sr 87.62 Sr.upf
Tm 168.93 Tm.upf
Mg 24.30 Mg.upf
Hg 200.59 Hg.upf
CELL_PARAMETERS angstrom
0.000 3.874 3.874
3.874 0.000 3.874
3.874 3.874 0.000
ATOMIC_POSITIONS crystal
Sr 0.000 0.000 0.000
Tm 0.500 0.500 0.500
Mg 0.250 0.250 0.250
Hg 0.750 0.750 0.750
```

Calculated values
As for the final energy: -2.20 eV/atom. Its total magnetization is 0.0 μB/cell. As for the formation energy: -0.19 eV per atom.